Computed, not measured: MgAu3F after structural relaxation at the GGA-PBEsol level of DFT.

As for the crystal system: cubic. The space-group type is Pm-3m, No. 221. For the raw formation energy, the calculation gives 0.6189 eV/atom. For the theoretical density, the calculation gives 9.50 g/cm³. The calculation puts the magnetization at 0.000 μB per atom. Its electronic total energy is -2.464 eV/atom.

Cell: 4.8046 4.8046 4.8046 Å, 90.00 90.00 90.00°
Closest atoms and distances in Å follow each position.
Atoms (fractional coordinates):
Mg 0.0000 0.0000 0.0000  6 Au 2.40
Au 0.0000 0.0000 0.5000  2 Mg 2.40
Au 0.0000 0.5000 0.0000  2 Mg 2.40
Au 0.5000 0.0000 0.0000  2 Mg 2.40
F 0.5000 0.5000 0.5000  12 Au 3.40



Computed, not measured: Cr2AsIr after structural relaxation at the GGA-PBEsol level of DFT.

As for the crystal system: tetragonal. The space-group type is P4mm, No. 99. Its formation energy is 0.09 eV per atom. For the theoretical density, the calculation gives 12.05 g/cm³. The calculation puts the magnetization at 0.001 μB per atom. Its electronic total energy is -8.767 eV/atom.

Cell: 2.9207 2.9207 5.9977 Å, 90.00 90.00 90.00°
Closest atoms and distances in Å follow each position.
Atoms (fractional coordinates):
Cr 0.0000 0.0000 0.0000  4 As 2.43, 4 Cr 2.50
Cr 0.5000 0.5000 0.2361  4 Cr 2.50, 4 Ir 2.56, 1 As 2.69
As 0.5000 0.5000 0.7877  5 Cr 2.43-2.69
Ir 0.0000 0.0000 0.4893  4 Cr 2.56, 4 As 2.73



Computed, not measured: SrAgNO2 after structural relaxation at the GGA-PBEsol level of DFT.

As for the crystal system: tetragonal. The space-group type is P4/mmm, No. 123. For the raw formation energy, the calculation gives -0.3267 eV/atom. For the theoretical density, the calculation gives 5.91 g/cm³. The calculation puts the magnetization at 0.290 μB per atom. Its electronic total energy is -5.162 eV/atom.

Cell: 4.1778 4.1778 3.8847 Å, 90.00 90.00 90.00°
Closest atoms and distances in Å follow each position.
Atoms (fractional coordinates):
Sr 0.0000 0.0000 0.0000  8 O 2.85, 4 N 2.95
Ag 0.5000 0.5000 0.5000  2 N 1.94, 4 O 2.09
N 0.5000 0.5000 0.0000  2 Ag 1.94
O 0.0000 0.5000 0.5000  2 Ag 2.09
O 0.5000 0.0000 0.5000  2 Ag 2.09



Computed, not measured: CaLaCo after structural relaxation at the GGA-PBEsol level of DFT.

As for the crystal system: cubic. The space-group type is F-43m, No. 216. Its formation energy is 0.94 eV per atom. For the theoretical density, the calculation gives 5.57 g/cm³. The calculation puts the magnetization at 0.000 μB per atom. Its electronic total energy is -4.136 eV/atom. For the polymorph energy (0 for the lowest one), the calculation gives 856 meV/atom.

Cell: 4.6455 4.6455 4.6455 Å, 60.00 60.00 60.00°
Closest atoms and distances in Å follow each position.
Atoms (fractional coordinates):
Ca 0.0000 0.0000 0.0000  4 Co 2.84, 4 La 2.84
La 0.2500 0.2500 0.2500  4 Ca 2.84
Co 0.7500 0.7500 0.7500  4 Ca 2.84



Computed, not measured: BeTl2Pb after structural relaxation at the GGA-PBEsol level of DFT.

As for the crystal system: tetragonal. The space-group type is I4/mmm, No. 139. Its formation energy is 0.50 eV per atom. For the theoretical density, the calculation gives 10.56 g/cm³. The calculation puts the magnetization at 0.000 μB per atom. Its electronic total energy is -2.810 eV/atom. For the polymorph energy (0 for the lowest one), the calculation gives 157 meV/atom.

Cell: 5.9760 5.9760 5.9760 Å, 136.94 136.94 62.53°
Closest atoms and distances in Å follow each position.
Atoms (fractional coordinates):
Be 0.0000 0.0000 0.0000  4 Pb 3.10, 8 Tl 3.37
Tl 0.2500 0.7500 0.5000  4 Tl 3.10, 4 Pb 3.37, 4 Be 3.37
Tl 0.7500 0.2500 0.5000  4 Tl 3.10, 4 Pb 3.37, 4 Be 3.37
Pb 0.5000 0.5000 0.0000  4 Be 3.10, 8 Tl 3.37



Computed, not measured: LiZrMn after structural relaxation at the GGA-PBEsol level of DFT.

As for the crystal system: trigonal. The space-group type is P3m1, No. 156. Its formation energy is 0.42 eV per atom. For the theoretical density, the calculation gives 4.72 g/cm³. The calculation puts the magnetization at 1.152 μB per atom. Its electronic total energy is -6.516 eV/atom. For the polymorph energy (0 for the lowest one), the calculation gives 70 meV/atom.

Cell: 2.9226 2.9226 7.2850 Å, 90.00 90.00 120.00°
Closest atoms and distances in Å follow each position.
Atoms (fractional coordinates):
Li 0.0000 0.0000 0.0000  3 Mn 2.85, 6 Li 2.92
Zr 0.6667 0.3333 0.3754  3 Mn 2.82, 6 Zr 2.92
Mn 0.3333 0.6667 0.6850  3 Zr 2.82, 3 Li 2.85, 6 Mn 2.92



- Which value of electronic total energy does entry 4 give?
  -4.136 eV/atom